1.
The following is a PBE calculation of a relaxed Cu3AgAu crystal, from the Alexandria database.

Values from the calculation:
Its energy is -3.557 eV/atom. Its calculated formation energy is 0.1261 eV per atom.

Unit cell a=6.732 b=6.805 c=6.732 alpha=90.01 beta=93.53 gamma=89.99
Element x y z (fractional)
Cu (0.019, 0.890, 0.196)
Cu (0.196, 0.610, 0.019)
Cu (0.932, 0.164, 0.432)
Cu (0.519, 0.610, 0.696)
Cu (0.481, 0.390, 0.304)
Cu (0.981, 0.110, 0.804)
Cu (0.432, 0.336, 0.932)
Cu (0.804, 0.390, 0.981)
Cu (0.568, 0.664, 0.068)
Cu (0.068, 0.836, 0.568)
Cu (0.696, 0.890, 0.519)
Cu (0.304, 0.110, 0.481)
Au (0.640, 0.250, 0.640)
Au (0.140, 0.250, 0.140)
Au (0.860, 0.750, 0.860)
Au (0.360, 0.750, 0.360)
Ag (0.351, 0.941, 0.852)
Ag (0.649, 0.059, 0.148)
Ag (0.852, 0.559, 0.351)
Ag (0.148, 0.441, 0.649)

2.
The following is a PBE calculation of a relaxed CuAg2Au crystal, from the Alexandria database.

Values from the calculation:
Its energy is -3.204 eV/atom. Its calculated formation energy is 0.0653 eV per atom.

Unit cell a=4.476 b=2.829 c=5.408 alpha=77.49 beta=90.00 gamma=90.00
Element x y z (fractional)
Au (0.500, 0.250, 0.250)
Ag (0.000, 0.556, 0.513)
Ag (0.000, 0.944, 0.987)
Cu (0.500, 0.750, 0.750)

3.
The following is a PBE calculation of a relaxed CuAg2Au crystal, from the Alexandria database.

Values from the calculation:
Its energy is -3.215 eV/atom. Its calculated formation energy is 0.0542 eV per atom.

Unit cell a=5.406 b=5.406 c=5.406 alpha=146.57 beta=129.02 gamma=62.34
Element x y z (fractional)
Ag (0.017, 0.017, 0.000)
Ag (0.748, 0.248, 0.500)
Au (0.482, 0.482, 0.000)
Cu (0.253, 0.753, 0.500)

4.
The following is a PBE calculation of a relaxed CuAgAu2 crystal, from the Alexandria database.

Values from the calculation:
Its energy is -2.700 eV/atom. Its calculated formation energy is 0.6754 eV per atom.

Unit cell a=6.030 b=6.030 c=7.284 alpha=65.55 beta=65.55 gamma=90.00
Element x y z (fractional)
Cu (0.500, 0.500, 0.000)
Cu (0.250, 0.750, 0.500)
Au (0.875, 0.842, 0.750)
Au (0.158, 0.625, 0.250)
Au (0.375, 0.408, 0.750)
Au (0.592, 0.125, 0.250)
Ag (0.750, 0.250, 0.500)
Ag (0.000, 0.000, 0.000)

5.
The following is a PBE calculation of a relaxed Cu2AgAu6 crystal, from the Alexandria database.

Values from the calculation:
Its energy is -3.417 eV/atom. Its calculated formation energy is -0.0048 eV per atom.

Unit cell a=4.010 b=4.990 c=8.757 alpha=72.88 beta=76.76 gamma=66.31
Element x y z (fractional)
Au (0.997, 0.180, 0.826)
Au (0.669, 0.721, 0.941)
Au (0.331, 0.279, 0.059)
Au (0.669, 0.053, 0.610)
Au (0.003, 0.820, 0.174)
Au (0.331, 0.947, 0.390)
Cu (0.328, 0.618, 0.726)
Cu (0.672, 0.382, 0.274)
Ag (0.000, 0.500, 0.500)

6.
The following is a PBE calculation of a relaxed Cu3Ag2Au8 crystal, from the Alexandria database.

Values from the calculation:
Its energy is -3.337 eV/atom. Its calculated formation energy is 0.0634 eV per atom.

Unit cell a=4.047 b=7.812 c=8.698 alpha=116.34 beta=90.00 gamma=90.00
Element x y z (fractional)
Ag (0.500, 0.250, 0.497)
Ag (0.500, 0.750, 0.503)
Au (0.000, 0.883, 0.765)
Au (0.500, 0.630, 0.772)
Au (0.000, 0.620, 0.241)
Au (0.000, 0.117, 0.235)
Au (0.500, 0.141, 0.770)
Au (0.000, 0.380, 0.759)
Au (0.500, 0.370, 0.228)
Au (0.500, 0.859, 0.230)
Cu (0.500, 0.000, 0.000)
Cu (0.000, 0.747, 0.001)
Cu (0.000, 0.253, 0.999)

Ordered ρ results: 10.7 11.8 11.8 8.7 15.5 13.4; unit g/cm³.